1.
VASP calculation (PBE-GGA) on BaPmBi2 after structural relaxation.

abc: 15.239 6.818 6.817
angles: 90.00 116.53 90.00
Positions (direct):
Ba 0.125 0.000 0.374
Ba 0.375 0.500 0.626
Ba 0.625 0.500 0.374
Ba 0.875 0.000 0.626
Pm 0.125 0.500 0.875
Pm 0.375 0.000 0.125
Pm 0.625 0.000 0.875
Pm 0.875 0.500 0.125
Bi 0.110 0.500 0.360
Bi 0.141 0.000 0.890
Bi 0.359 0.500 0.110
Bi 0.390 0.000 0.640
Bi 0.610 0.000 0.360
Bi 0.641 0.500 0.890
Bi 0.859 0.000 0.110
Bi 0.890 0.500 0.640

Computed properties:
Offset from the most stable computed form: 0.000 eV per atom
Crystal system: monoclinic
ΔH_f (0 K): -750 meV/atom
V: 633.65 Å³ per cell

2.
VASP calculation (PBE-GGA) on BaPmBi2 after structural relaxation.

abc: 4.121 4.121 34.529
angles: 90.00 90.00 120.00
Positions (direct):
Ba 0.000 0.000 0.000
Ba 0.333 0.667 0.667
Ba 0.667 0.333 0.333
Pm 0.000 0.000 0.500
Pm 0.333 0.667 0.167
Pm 0.667 0.333 0.833
Bi 0.000 0.000 0.100
Bi 0.000 0.000 0.900
Bi 0.333 0.667 0.566
Bi 0.333 0.667 0.767
Bi 0.667 0.333 0.233
Bi 0.667 0.333 0.434

Computed properties:
Offset from the most stable computed form: 0.525 eV per atom
Crystal system: trigonal
ΔH_f (0 K): -225 meV/atom
V: 507.77 Å³ per cell

3.
VASP calculation (PBE-GGA) on BaPmBi4 after structural relaxation.

abc: 6.686 6.686 6.686
angles: 60.00 60.00 60.00
Positions (direct):
Ba 0.000 0.000 0.000
Pm 0.750 0.750 0.750
Bi 0.376 0.376 0.376
Bi 0.376 0.376 0.873
Bi 0.376 0.873 0.376
Bi 0.873 0.376 0.376

Computed properties:
Crystal system: cubic
ΔH_f (0 K): -340 meV/atom
V: 211.35 Å³ per cell

4.
VASP calculation (PBE-GGA) on BaPmBi2 after structural relaxation.

abc: 4.902 4.902 23.716
angles: 90.00 90.00 120.00
Positions (direct):
Ba 0.000 0.000 0.000
Ba 0.333 0.667 0.667
Ba 0.667 0.333 0.333
Pm 0.000 0.000 0.172
Pm 0.333 0.667 0.839
Pm 0.667 0.333 0.505
Bi 0.000 0.000 0.431
Bi 0.000 0.000 0.575
Bi 0.333 0.667 0.098
Bi 0.333 0.667 0.241
Bi 0.667 0.333 0.765
Bi 0.667 0.333 0.908

Computed properties:
Offset from the most stable computed form: 0.018 eV per atom
Crystal system: trigonal
ΔH_f (0 K): -732 meV/atom
V: 493.50 Å³ per cell

5.
VASP calculation (PBE-GGA) on BaPm2Bi after structural relaxation.

abc: 5.184 5.184 5.078
angles: 90.00 90.00 90.00
Positions (direct):
Ba 0.000 0.000 0.000
Pm 0.000 0.500 0.500
Pm 0.500 0.000 0.500
Bi 0.500 0.500 0.000

Computed properties:
Offset from the most stable computed form: 0.000 eV per atom
Crystal system: tetragonal
ΔH_f (0 K): -273 meV/atom
V: 136.50 Å³ per cell

6.
VASP calculation (PBE-GGA) on BaPmBi2 after structural relaxation.

abc: 8.280 8.280 8.280
angles: 90.00 90.00 90.00
Positions (direct):
Ba 0.000 0.000 0.000
Ba 0.000 0.500 0.500
Ba 0.500 0.000 0.500
Ba 0.500 0.500 0.000
Pm 0.000 0.000 0.500
Pm 0.000 0.500 0.000
Pm 0.500 0.000 0.000
Pm 0.500 0.500 0.500
Bi 0.250 0.250 0.250
Bi 0.250 0.250 0.750
Bi 0.250 0.750 0.250
Bi 0.250 0.750 0.750
Bi 0.750 0.250 0.250
Bi 0.750 0.250 0.750
Bi 0.750 0.750 0.250
Bi 0.750 0.750 0.750

Computed properties:
Offset from the most stable computed form: 0.087 eV per atom
Crystal system: cubic
ΔH_f (0 K): -663 meV/atom
V: 567.69 Å³ per cell

7.
VASP calculation (PBE-GGA) on BaPm5Bi6 after structural relaxation.

abc: 8.079 8.079 8.065
angles: 99.66 99.66 120.19
Positions (direct):
Ba 0.000 0.000 0.000
Pm 0.161 0.839 0.500
Pm 0.331 0.669 0.000
Pm 0.500 0.500 0.500
Pm 0.669 0.331 0.000
Pm 0.839 0.161 0.500
Bi 0.087 0.435 0.260
Bi 0.263 0.263 0.745
Bi 0.435 0.087 0.260
Bi 0.565 0.913 0.740
Bi 0.737 0.737 0.255
Bi 0.913 0.565 0.740

Computed properties:
Crystal system: monoclinic
ΔH_f (0 K): -884 meV/atom
V: 428.45 Å³ per cell

8.
VASP calculation (PBE-GGA) on BaPmBi2 after structural relaxation.

abc: 4.016 4.016 8.790
angles: 90.00 90.00 90.00
Positions (direct):
Ba 0.000 0.000 0.000
Pm 0.000 0.000 0.500
Bi 0.500 0.500 0.279
Bi 0.500 0.500 0.721

Computed properties:
Offset from the most stable computed form: 0.007 eV per atom
Crystal system: tetragonal
ΔH_f (0 K): -743 meV/atom
V: 141.75 Å³ per cell

9.
VASP calculation (PBE-GGA) on BaPm2Bi after structural relaxation.

abc: 4.227 4.227 34.283
angles: 90.00 90.00 120.00
Positions (direct):
Ba 0.000 0.000 0.000
Ba 0.333 0.667 0.667
Ba 0.667 0.333 0.333
Pm 0.000 0.000 0.109
Pm 0.000 0.000 0.891
Pm 0.333 0.667 0.557
Pm 0.333 0.667 0.776
Pm 0.667 0.333 0.224
Pm 0.667 0.333 0.443
Bi 0.000 0.000 0.500
Bi 0.333 0.667 0.167
Bi 0.667 0.333 0.833

Computed properties:
Offset from the most stable computed form: 0.175 eV per atom
Crystal system: trigonal
ΔH_f (0 K): -98 meV/atom
V: 530.57 Å³ per cell

10.
VASP calculation (PBE-GGA) on BaPmBiSb after structural relaxation.

abc: 8.191 8.191 8.191
angles: 90.00 90.00 90.00
Positions (direct):
Ba 0.000 0.000 0.000
Ba 0.000 0.500 0.500
Ba 0.500 0.000 0.500
Ba 0.500 0.500 0.000
Pm 0.000 0.000 0.500
Pm 0.000 0.500 0.000
Pm 0.500 0.000 0.000
Pm 0.500 0.500 0.500
Bi 0.250 0.250 0.750
Bi 0.250 0.750 0.250
Bi 0.750 0.250 0.250
Bi 0.750 0.750 0.750
Sb 0.250 0.250 0.250
Sb 0.250 0.750 0.750
Sb 0.750 0.250 0.750
Sb 0.750 0.750 0.250

Computed properties:
Crystal system: cubic
ΔE_f (raw): -0.72 eV/atom
V: 549.59 Å³ per cell

11.
VASP calculation (PBE-GGA) on BaPmSnBi after structural relaxation.

abc: 8.199 8.199 8.199
angles: 90.00 90.00 90.00
Positions (direct):
Ba 0.000 0.000 0.000
Ba 0.000 0.500 0.500
Ba 0.500 0.000 0.500
Ba 0.500 0.500 0.000
Pm 0.000 0.000 0.500
Pm 0.000 0.500 0.000
Pm 0.500 0.000 0.000
Pm 0.500 0.500 0.500
Sn 0.250 0.250 0.750
Sn 0.250 0.750 0.250
Sn 0.750 0.250 0.250
Sn 0.750 0.750 0.750
Bi 0.250 0.250 0.250
Bi 0.250 0.750 0.750
Bi 0.750 0.250 0.750
Bi 0.750 0.750 0.250

Computed properties:
Crystal system: cubic
ΔH_f (0 K): -524 meV/atom
V: 551.22 Å³ per cell

12.
VASP calculation (PBE-GGA) on BaPmTlBi after structural relaxation.

abc: 8.212 8.212 8.212
angles: 90.00 90.00 90.00
Positions (direct):
Ba 0.000 0.000 0.000
Ba 0.000 0.500 0.500
Ba 0.500 0.000 0.500
Ba 0.500 0.500 0.000
Pm 0.000 0.000 0.500
Pm 0.000 0.500 0.000
Pm 0.500 0.000 0.000
Pm 0.500 0.500 0.500
Tl 0.250 0.250 0.250
Tl 0.250 0.750 0.750
Tl 0.750 0.250 0.750
Tl 0.750 0.750 0.250
Bi 0.250 0.250 0.750
Bi 0.250 0.750 0.250
Bi 0.750 0.250 0.250
Bi 0.750 0.750 0.750

Computed properties:
Crystal system: cubic
ΔH_f (0 K): -437 meV/atom
V: 553.84 Å³ per cell

Q: V of number 7 (BaPm5Bi6)?
A: 428.45 Å³ per cell